Below is an optimized crystal structure of P2RuBr, with properties calculated at the PBE-GGA level.

Output
Raw formation energy ... 0.038 eV/atom
E_tot ... -0.1986 hartree per atom
Energy above the lowest structure with this stoichiometry ... 0.551 eV per formula unit
Fermi-level density of states ... 2.3 states/eV/cell

Geometry as CIF:
```
data_P2RuBr
_symmetry_space_group_name_H-M 'P 1'
_symmetry_Int_Tables_number 1
_cell_length_a 3.9968
_cell_length_b 3.6593
_cell_length_c 5.9058
_cell_angle_alpha 90.00
_cell_angle_beta 92.99
_cell_angle_gamma 90.00
loop_
_symmetry_equiv_pos_as_xyz
'x,y,z'
loop_
_atom_site_label
_atom_site_fract_x
_atom_site_fract_y
_atom_site_fract_z
_atom_site_occupancy
P1 0.0000 0.0000 0.0000 1
P2 0.3446 0.5000 0.9725 1
Ru1 0.5215 0.0000 0.7790 1
Br1 0.5882 0.5000 0.4567 1
```


Below is an optimized crystal structure of PRu3Br, with properties calculated at the PBE-GGA level.

Output
Raw formation energy ... 0.812 eV/atom
E_tot ... -0.2268 hartree per atom
Energy above the lowest structure with this stoichiometry ... 0.000 eV per formula unit
Fermi-level density of states ... 3.9 states/eV/cell

Geometry as CIF:
```
data_PRu3Br
_symmetry_space_group_name_H-M 'P 1'
_symmetry_Int_Tables_number 1
_cell_length_a 4.4841
_cell_length_b 4.4841
_cell_length_c 4.4841
_cell_angle_alpha 90.00
_cell_angle_beta 90.00
_cell_angle_gamma 90.00
loop_
_symmetry_equiv_pos_as_xyz
'x,y,z'
loop_
_atom_site_label
_atom_site_fract_x
_atom_site_fract_y
_atom_site_fract_z
_atom_site_occupancy
P1 0.0000 0.0000 0.0000 1
Ru1 0.0000 0.0000 0.5000 1
Ru2 0.0000 0.5000 0.0000 1
Ru3 0.5000 0.0000 0.0000 1
Br1 0.5000 0.5000 0.5000 1
```


raw formation energy of number 2 (PRu3Br)?
0.812 eV/atom


Number 1 is which compound?
P2RuBr